MnGaSe | Alexandria via LeMat-Bulk | PBE | optimized geometry; polymorph energy (0 for the lowest one) = 123.0 meV/atom; space group = Pmmm, No. 47; uncorrected formation energy = 0.04 eV per formula unit; N(E_F) = 0.6812 states/eV/atom; size of the total moment = 2.95 μB/cell
1.0
2.882 0.000 0.000
0.000 4.822 0.000
0.000 0.000 4.245
Mn Ga Se
1 1 1
Cartesian
1.441 0.000 0.000
0.000 0.000 2.122
1.441 2.411 0.000